(1)
VASP calculation (PBE) on Gd3Al5O12 after structural relaxation.

Computed properties:
final energy = -629.35 eV for the cell shown
total moment = 0.0 μB per formula unit
crystal system = cubic

Lattice parameters (Å, degrees): 10.4526 10.4526 10.4526 109.47 109.47 109.47
Last column: nearest neighbours and their distance in Å.
Fractional coordinates of all 80 atoms:
Al1 0.0000 0.0000 0.0000  6 O 1.93
Al2 0.5000 0.0000 0.0000  6 O 1.93
Al3 0.0000 0.5000 0.0000  6 O 1.93
Al4 0.5000 0.5000 0.0000  6 O 1.93
Al5 0.8750 0.2500 0.1250  4 O 1.78
Al6 0.7500 0.8750 0.1250  4 O 1.78
Al7 0.6250 0.3750 0.2500  4 O 1.78
Al8 0.1250 0.8750 0.2500  4 O 1.78
Al9 0.2500 0.6250 0.3750  4 O 1.78
Al10 0.6250 0.7500 0.3750  4 O 1.78
Al11 0.0000 0.0000 0.5000  6 O 1.93
Al12 0.5000 0.0000 0.5000  6 O 1.93
Al13 0.0000 0.5000 0.5000  6 O 1.93
Al14 0.5000 0.5000 0.5000  6 O 1.93
Al15 0.3750 0.2500 0.6250  4 O 1.78
Al16 0.7500 0.3750 0.6250  4 O 1.78
Al17 0.8750 0.1250 0.7500  4 O 1.78
Al18 0.3750 0.6250 0.7500  4 O 1.78
Al19 0.2500 0.1250 0.8750  4 O 1.78
Al20 0.1250 0.7500 0.8750  4 O 1.78
Gd1 0.2500 0.3750 0.1250  8 O 2.33-2.45
Gd2 0.3750 0.7500 0.1250  8 O 2.33-2.45
Gd3 0.3750 0.1250 0.2500  8 O 2.33-2.45
Gd4 0.8750 0.6250 0.2500  8 O 2.33-2.45
Gd5 0.7500 0.1250 0.3750  8 O 2.33-2.45
Gd6 0.1250 0.2500 0.3750  8 O 2.33-2.45
Gd7 0.8750 0.7500 0.6250  8 O 2.33-2.45
Gd8 0.2500 0.8750 0.6250  8 O 2.33-2.45
Gd9 0.1250 0.3750 0.7500  8 O 2.33-2.45
Gd10 0.6250 0.8750 0.7500  8 O 2.33-2.45
Gd11 0.6250 0.2500 0.8750  8 O 2.33-2.45
Gd12 0.7500 0.6250 0.8750  8 O 2.33-2.45
O1 0.1990 0.1170 0.0192  2 Al 1.78-1.93
O2 0.3201 0.9022 0.0192  2 Al 1.78-1.93
O3 0.8830 0.4022 0.0820  2 Al 1.78-1.93
O4 0.6990 0.6799 0.0820  2 Al 1.78-1.93
O5 0.6170 0.4180 0.0978  2 Al 1.78-1.93
O6 0.9808 0.6799 0.0978  2 Al 1.78-1.93
O7 0.0192 0.1990 0.1170  2 Al 1.78-1.93
O8 0.5978 0.9180 0.1170  2 Al 1.78-1.93
O9 0.1990 0.5820 0.1799  2 Al 1.78-1.93
O10 0.4808 0.5978 0.1799  2 Al 1.78-1.93
O11 0.1170 0.0192 0.1990  2 Al 1.78-1.93
O12 0.5820 0.1799 0.1990  2 Al 1.78-1.93
O13 0.4808 0.3830 0.3010  2 Al 1.78-1.93
O14 0.3201 0.9180 0.3010  2 Al 1.78-1.93
O15 0.9022 0.0192 0.3201  2 Al 1.78-1.93
O16 0.9180 0.3010 0.3201  2 Al 1.78-1.93
O17 0.3010 0.4808 0.3830  2 Al 1.78-1.93
O18 0.5820 0.9022 0.3830  2 Al 1.78-1.93
O19 0.8201 0.5192 0.4022  2 Al 1.78-1.93
O20 0.0820 0.8830 0.4022  2 Al 1.78-1.93
O21 0.0978 0.6170 0.4180  2 Al 1.78-1.93
O22 0.8201 0.8010 0.4180  2 Al 1.78-1.93
O23 0.5978 0.1799 0.4808  2 Al 1.78-1.93
O24 0.3830 0.3010 0.4808  2 Al 1.78-1.93
O25 0.6170 0.6990 0.5192  2 Al 1.78-1.93
O26 0.4022 0.8201 0.5192  2 Al 1.78-1.93
O27 0.1799 0.1990 0.5820  2 Al 1.78-1.93
O28 0.9022 0.3830 0.5820  2 Al 1.78-1.93
O29 0.9180 0.1170 0.5978  2 Al 1.78-1.93
O30 0.1799 0.4808 0.5978  2 Al 1.78-1.93
O31 0.4180 0.0978 0.6170  2 Al 1.78-1.93
O32 0.6990 0.5192 0.6170  2 Al 1.78-1.93
O33 0.0820 0.6990 0.6799  2 Al 1.78-1.93
O34 0.0978 0.9808 0.6799  2 Al 1.78-1.93
O35 0.6799 0.0820 0.6990  2 Al 1.78-1.93
O36 0.5192 0.6170 0.6990  2 Al 1.78-1.93
O37 0.4180 0.8201 0.8010  2 Al 1.78-1.93
O38 0.8830 0.9808 0.8010  2 Al 1.78-1.93
O39 0.5192 0.4022 0.8201  2 Al 1.78-1.93
O40 0.8010 0.4180 0.8201  2 Al 1.78-1.93
O41 0.4022 0.0820 0.8830  2 Al 1.78-1.93
O42 0.9808 0.8010 0.8830  2 Al 1.78-1.93
O43 0.0192 0.3201 0.9022  2 Al 1.78-1.93
O44 0.3830 0.5820 0.9022  2 Al 1.78-1.93
O45 0.3010 0.3201 0.9180  2 Al 1.78-1.93
O46 0.1170 0.5978 0.9180  2 Al 1.78-1.93
O47 0.6799 0.0978 0.9808  2 Al 1.78-1.93
O48 0.8010 0.8830 0.9808  2 Al 1.78-1.93



(2)
VASP calculation (PBE) on DyHoGe4 after structural relaxation.

Computed properties:
final energy = -31.34 eV for the cell shown
total moment = 0.0 μB per formula unit
crystal system = orthorhombic

Lattice parameters (Å, degrees): 3.9198 8.2871 8.2871 28.29 90.00 90.00
Last column: nearest neighbours and their distance in Å.
Fractional coordinates of all 6 atoms:
Dy1 0.0000 0.3964 0.3964  10 Ge 2.94-3.23
Ge1 0.0000 0.0529 0.0529  2 Ge 2.58
Ge2 0.5000 0.2465 0.2465  4 Ge 2.82, 2 Ho 3.06, 2 Dy 3.11
Ge3 0.0000 0.7526 0.7526  4 Ge 2.82, 2 Dy 3.07, 2 Ho 3.10
Ge4 0.5000 0.9483 0.9483  2 Ge 2.58
Ho1 0.5000 0.6033 0.6033  10 Ge 2.93-3.21



(3)
VASP calculation (PBE) on KNbCuSe2S after structural relaxation.

Computed properties:
final energy = -61.64 eV for the cell shown
total moment = 0.5 μB per formula unit
crystal system = orthorhombic

Lattice parameters (Å, degrees): 7.7064 7.7064 9.7335 90.00 90.00 152.30
Last column: nearest neighbours and their distance in Å.
Fractional coordinates of all 12 atoms:
Cu1 0.0312 0.9688 0.2500  2 S 2.29, 2 Se 2.39
Cu2 0.9688 0.0312 0.7500  2 S 2.29, 2 Se 2.39
K1 0.7580 0.2420 0.2500  2 S 3.29, 6 Se 3.35-3.41
K2 0.2420 0.7580 0.7500  2 S 3.29, 6 Se 3.35-3.41
Nb1 0.5000 0.5000 0.0000  2 S 2.59, 4 Se 2.66
Nb2 0.5000 0.5000 0.5000  2 S 2.59, 4 Se 2.66
S1 0.4402 0.5598 0.2500  2 Cu 2.29
S2 0.5598 0.4402 0.7500  2 Cu 2.29
Se1 0.1237 0.8763 0.0494  1 Cu 2.39, 2 Nb 2.66
Se2 0.1237 0.8763 0.4506  1 Cu 2.39, 2 Nb 2.66
Se3 0.8763 0.1237 0.5494  1 Cu 2.39, 2 Nb 2.66
Se4 0.8763 0.1237 0.9506  1 Cu 2.39, 2 Nb 2.66



(4)
VASP calculation (PBE) on BaTbTlSe3 after structural relaxation.

Computed properties:
final energy = -55.36 eV for the cell shown
total moment = 0.0 μB per formula unit
crystal system = orthorhombic

Lattice parameters (Å, degrees): 7.9987 7.9987 12.2161 90.00 90.00 148.92
Last column: nearest neighbours and their distance in Å.
Fractional coordinates of all 12 atoms:
Ba1 0.8366 0.1634 0.2500  4 Se 3.10-3.25
Ba2 0.1634 0.8366 0.7500  4 Se 3.10-3.25
Se1 0.8757 0.1243 0.0009  2 Tb 2.87, 1 Tl 3.07, 1 Ba 3.10
Se2 0.4952 0.5048 0.2500  2 Tl 3.00, 2 Tb 3.05, 2 Ba 3.25
Se3 0.8757 0.1243 0.4991  2 Tb 2.87, 1 Tl 3.07, 1 Ba 3.10
Se4 0.1243 0.8757 0.5009  2 Tb 2.87, 1 Tl 3.07, 1 Ba 3.10
Se5 0.5048 0.4952 0.7500  2 Tl 3.00, 2 Tb 3.05, 2 Ba 3.25
Se6 0.1243 0.8757 0.9991  2 Tb 2.87, 1 Tl 3.07, 1 Ba 3.10
Tb1 0.5000 0.5000 0.0000  6 Se 2.87-3.05
Tb2 0.5000 0.5000 0.5000  6 Se 2.87-3.05
Tl1 0.1318 0.8682 0.2500  4 Se 3.00-3.07
Tl2 0.8682 0.1318 0.7500  4 Se 3.00-3.07



(5)
VASP calculation (PBE) on USiPb after structural relaxation.

Computed properties:
total moment = 2.1 μB per formula unit
E above lowest polymorph = 189 meV per atom
crystal system = cubic

Lattice parameters (Å, degrees): 4.9293 4.9293 4.9293 60.00 60.00 60.00
Last column: nearest neighbours and their distance in Å.
Fractional coordinates of all 3 atoms:
Pb1 0.2500 0.2500 0.2500  4 U 3.02
Si1 0.7500 0.7500 0.7500  4 U 3.02
U1 0.0000 0.0000 0.0000  4 Si 3.02, 4 Pb 3.02



(6)
VASP calculation (PBE) on LaNdSn2Pd4 after structural relaxation.

Computed properties:
final energy = -45.20 eV for the cell shown
total moment = 0.0 μB per formula unit
crystal system = hexagonal

Lattice parameters (Å, degrees): 4.6580 4.6580 9.2869 90.00 90.00 120.00
Last column: nearest neighbours and their distance in Å.
Fractional coordinates of all 8 atoms:
La1 0.3333 0.6667 0.0000  8 Pd 3.10-3.12
Nd1 0.0000 0.0000 0.5000  8 Pd 3.06-3.10
Pd1 0.0000 0.0000 0.1709  3 Sn 2.80, 1 Nd 3.06, 3 Pd 3.08, 3 La 3.12
Pd2 0.3333 0.6667 0.3336  3 Sn 2.78, 4 Pd 3.08-3.09, 1 La 3.10, 3 Nd 3.10
Pd3 0.3333 0.6667 0.6664  3 Sn 2.78, 4 Pd 3.08-3.09, 1 La 3.10, 3 Nd 3.10
Pd4 0.0000 0.0000 0.8291  3 Sn 2.80, 1 Nd 3.06, 3 Pd 3.08, 3 La 3.12
Sn1 0.6667 0.3333 0.2559  6 Pd 2.78-2.80
Sn2 0.6667 0.3333 0.7441  6 Pd 2.78-2.80



(7)
VASP calculation (PBE) on LiZrIr2 after structural relaxation.

Computed properties:
total moment = 0.0 μB per formula unit
E above lowest polymorph = 252 meV per atom
crystal system = hexagonal

Lattice parameters (Å, degrees): 4.4872 4.4872 8.0035 90.00 90.00 120.00
Last column: nearest neighbours and their distance in Å.
Fractional coordinates of all 8 atoms:
Ir1 0.6667 0.3333 0.0971  1 Ir 2.45, 3 Zr 2.70
Ir2 0.6667 0.3333 0.4029  1 Ir 2.45, 3 Zr 2.70
Ir3 0.3333 0.6667 0.5971  1 Ir 2.45, 3 Zr 2.70
Ir4 0.3333 0.6667 0.9029  1 Ir 2.45, 3 Zr 2.70
Li1 0.3333 0.6667 0.2500  8 Ir 2.78-2.87
Li2 0.6667 0.3333 0.7500  8 Ir 2.78-2.87
Zr1 0.0000 0.0000 0.0000  6 Ir 2.70
Zr2 0.0000 0.0000 0.5000  6 Ir 2.70



(8)
VASP calculation (PBE) on DyYHg after structural relaxation.

Computed properties:
ΔH_f (0 K) = -381.7 meV per atom
total moment = 0.0 μB per formula unit
E above lowest polymorph = 0 meV per atom
crystal system = orthorhombic

Lattice parameters (Å, degrees): 7.0791 5.0981 9.1933 90.00 90.00 90.00
Last column: nearest neighbours and their distance in Å.
Fractional coordinates of all 12 atoms:
Dy1 0.1692 0.2500 0.0755  4 Hg 3.02-3.09
Dy2 0.6692 0.2500 0.4245  4 Hg 3.02-3.09
Dy3 0.3308 0.7500 0.5755  4 Hg 3.02-3.09
Dy4 0.8308 0.7500 0.9245  4 Hg 3.02-3.09
Hg1 0.7393 0.2500 0.1005  4 Dy 3.02-3.09, 3 Y 3.14-3.24
Hg2 0.2393 0.2500 0.3995  4 Dy 3.02-3.09, 3 Y 3.14-3.24
Hg3 0.7607 0.7500 0.6005  4 Dy 3.02-3.09, 3 Y 3.14-3.24
Hg4 0.2607 0.7500 0.8995  4 Dy 3.02-3.09, 3 Y 3.14-3.24
Y1 0.4844 0.7500 0.1942  3 Hg 3.14-3.24, 1 Dy 3.49
Y2 0.9844 0.7500 0.3058  3 Hg 3.14-3.24, 1 Dy 3.49
Y3 0.0156 0.2500 0.6942  3 Hg 3.14-3.24, 1 Dy 3.49
Y4 0.5156 0.2500 0.8058  3 Hg 3.14-3.24, 1 Dy 3.49



(9)
VASP calculation (PBE) on HoLuNi4 after structural relaxation.

Computed properties:
ΔH_f (0 K) = -93.9 meV per atom
total moment = 0.0 μB per formula unit
crystal system = hexagonal

Lattice parameters (Å, degrees): 5.3085 5.3085 7.9387 90.00 90.00 120.00
Last column: nearest neighbours and their distance in Å.
Fractional coordinates of all 12 atoms:
Ho1 0.0000 0.0000 0.0000  6 Lu 3.06, 12 Ni 3.40
Ho2 0.0000 0.0000 0.5000  18 Ni 3.06-3.23
Lu1 0.6667 0.3333 0.0000  6 Ni 2.62
Lu2 0.3333 0.6667 0.0000  6 Ni 2.62
Ni1 0.5000 0.0000 0.2678  6 Ni 2.40-2.65, 2 Lu 2.62
Ni2 0.0000 0.5000 0.2678  6 Ni 2.40-2.65, 2 Lu 2.62
Ni3 0.5000 0.5000 0.2678  6 Ni 2.40-2.65, 2 Lu 2.62
Ni4 0.6667 0.3333 0.5000  6 Ni 2.40
Ni5 0.3333 0.6667 0.5000  6 Ni 2.40
Ni6 0.5000 0.0000 0.7322  6 Ni 2.40-2.65, 2 Lu 2.62
Ni7 0.0000 0.5000 0.7322  6 Ni 2.40-2.65, 2 Lu 2.62
Ni8 0.5000 0.5000 0.7322  6 Ni 2.40-2.65, 2 Lu 2.62



Q: The highest total moment belongs to which entry?
A: USiPb



Q: What is the total moment in the seventh record?
A: 0.0 μB per formula unit



Q: What is the total moment in the seventh record?
A: 0.0 μB per formula unit